(1)
Entry from Alexandria via LeMat-Bulk: a PBEsol-optimized structure of Zr3TaAs (meta-GGA SCAN).

It has space group Pm-3m (No. 221), with a = 4.891 Å, b = 4.891 Å, c = 4.891 Å, α = 90.00°, β = 90.00° and γ = 90.00°. The asymmetric unit holds Zr at (0.000, 0.000, 0.500), Ta at (0.500, 0.500, 0.500) and As at (0.000, 0.000, 0.000).

The calculation puts the raw total energy at -35.518 eV/atom. For the energy relative to the elements, the calculation gives 256 meV per atom. The calculation puts the density at 7.5 Mg/m³. The density of states at the Fermi level comes out at 3.960 states/eV per cell.


(2)
Entry from Alexandria via LeMat-Bulk: a PBEsol-optimized structure of ZrTaAs (meta-GGA SCAN).

It has space group Fmm2 (No. 42), with a = 3.577 Å, b = 4.954 Å, c = 12.417 Å, α = 90.00°, β = 90.00° and γ = 90.00°. The asymmetric unit holds Zr at (0.000, 0.000, 0.000), Ta at (0.000, 0.000, 0.685) and As at (0.000, 0.000, 0.337).

The calculation puts the raw total energy at -39.519 eV/atom. For the energy relative to the elements, the calculation gives -362 meV per atom. The calculation puts the density at 10.5 Mg/m³. The density of states at the Fermi level comes out at 7.948 states/eV per cell.


(3)
Entry from Alexandria via LeMat-Bulk: a PBEsol-optimized structure of Tc2As (meta-GGA SCAN).

It has space group C2/m (No. 12), with a = 8.853 Å, b = 2.993 Å, c = 6.921 Å, α = 90.00°, β = 110.68° and γ = 90.00°. The asymmetric unit holds Tc at (0.148, 0.000, 0.031), Tc at (0.182, 0.000, 0.645) and As at (0.024, 0.500, 0.291).

The calculation puts the raw total energy at -30.255 eV/atom. For the energy relative to the elements, the calculation gives -152 meV per atom. The calculation puts the density at 10.5 Mg/m³. The density of states at the Fermi level comes out at 5.429 states/eV per cell.


(4)
Entry from Alexandria via LeMat-Bulk: a PBEsol-optimized structure of Tc8As (meta-GGA SCAN).

It has space group I4/mmm (No. 139), with a = 8.112 Å, b = 8.112 Å, c = 3.858 Å, α = 90.00°, β = 90.00° and γ = 90.00°. The asymmetric unit holds Tc at (0.000, 0.341, 0.000), Tc at (0.173, 0.173, 0.500) and As at (0.000, 0.000, 0.000).

The calculation puts the raw total energy at -33.409 eV/atom. For the energy relative to the elements, the calculation gives -1 meV per atom. The calculation puts the density at 11.2 Mg/m³. The density of states at the Fermi level comes out at 16.146 states/eV per cell.


(5)
Entry from Alexandria via LeMat-Bulk: a PBEsol-optimized structure of TcAs (meta-GGA SCAN).

It has space group P2_13 (No. 198), with a = 4.927 Å, b = 4.927 Å, c = 4.927 Å, α = 90.00°, β = 90.00° and γ = 90.00°. The asymmetric unit holds Tc at (0.136, 0.136, 0.136) and As at (0.079, 0.579, 0.921).

The calculation puts the raw total energy at -27.898 eV/atom. For the energy relative to the elements, the calculation gives -273 meV per atom. The calculation puts the density at 9.6 Mg/m³.


(6)
Entry from Alexandria via LeMat-Bulk: a PBEsol-optimized structure of Tc2As (meta-GGA SCAN).

It has space group P6/mmm (No. 191), with a = 4.1911 Å, b = 4.1911 Å, c = 3.0000 Å, α = 90.00°, β = 90.00° and γ = 120.00°. The asymmetric unit holds Tc at (0.3333, 0.6667, 0.0000) and As at (0.0000, 0.0000, 0.5000).

The calculation puts the raw total energy at -29.646 eV/atom. For the energy relative to the elements, the calculation gives 457 meV per atom. The calculation puts the density at 9.9 Mg/m³. The density of states at the Fermi level comes out at 2.487 states/eV per cell.


(7)
Entry from Alexandria via LeMat-Bulk: a PBEsol-optimized structure of Tc2As (meta-GGA SCAN).

It has space group Cmcm (No. 63), with a = 2.865 Å, b = 13.462 Å, c = 4.444 Å, α = 90.00°, β = 90.00° and γ = 90.00°. The asymmetric unit holds Tc at (0.000, 0.050, 0.250), Tc at (0.000, 0.383, 0.250) and As at (0.000, 0.291, 0.750).

The calculation puts the raw total energy at -30.221 eV/atom. For the energy relative to the elements, the calculation gives -118 meV per atom. The calculation puts the density at 10.5 Mg/m³. The density of states at the Fermi level comes out at 6.685 states/eV per cell.


(8)
Entry from Alexandria via LeMat-Bulk: a PBEsol-optimized structure of TcAs (meta-GGA SCAN).

It has space group Imma (No. 74), with a = 3.024 Å, b = 4.091 Å, c = 9.484 Å, α = 90.00°, β = 90.00° and γ = 90.00°. The asymmetric unit holds Tc at (0.000, 0.250, 0.115) and As at (0.000, 0.250, 0.613).

The calculation puts the raw total energy at -27.580 eV/atom. For the energy relative to the elements, the calculation gives 45 meV per atom. The calculation puts the density at 9.8 Mg/m³. The density of states at the Fermi level comes out at 4.476 states/eV per cell.


(9)
Entry from Alexandria via LeMat-Bulk: a PBEsol-optimized structure of TcAs (meta-GGA SCAN).

It has space group Fm-3m (No. 225), with a = 5.022 Å, b = 5.022 Å, c = 5.022 Å, α = 90.00°, β = 90.00° and γ = 90.00°. The asymmetric unit holds Tc at (0.000, 0.000, 0.000) and As at (0.000, 0.000, 0.500).

The calculation puts the raw total energy at -27.231 eV/atom. For the energy relative to the elements, the calculation gives 395 meV per atom. The calculation puts the density at 9.1 Mg/m³. The density of states at the Fermi level comes out at 2.722 states/eV per cell.


(10)
Entry from Alexandria via LeMat-Bulk: a PBEsol-optimized structure of Tc3As2 (meta-GGA SCAN).

It has space group P-3m1 (No. 164), with a = 4.0949 Å, b = 4.0949 Å, c = 5.2903 Å, α = 90.00°, β = 90.00° and γ = 120.00°. The asymmetric unit holds Tc at (0.0000, 0.0000, 0.0000), Tc at (0.3333, 0.6667, 0.3233) and As at (0.3333, 0.6667, 0.7899).

The calculation puts the raw total energy at -28.991 eV/atom. For the energy relative to the elements, the calculation gives 122 meV per atom. The calculation puts the density at 9.6 Mg/m³. The density of states at the Fermi level comes out at 6.244 states/eV per cell.


(11)
Entry from Alexandria via LeMat-Bulk: a PBEsol-optimized structure of TcAs (meta-GGA SCAN).

It has space group Fd-3m (No. 227, origin choice 2), with a = 6.204 Å, b = 6.204 Å, c = 6.204 Å, α = 90.00°, β = 90.00° and γ = 90.00°. The asymmetric unit holds Tc at (0.125, 0.125, 0.125) and As at (0.125, 0.125, 0.625).

The calculation puts the raw total energy at -27.162 eV/atom. For the energy relative to the elements, the calculation gives 464 meV per atom. The calculation puts the density at 9.6 Mg/m³. The density of states at the Fermi level comes out at 18.441 states/eV per cell.


(12)
Entry from Alexandria via LeMat-Bulk: a PBEsol-optimized structure of Tc2As (meta-GGA SCAN).

It has space group I4/mmm (No. 139), with a = 2.939 Å, b = 2.939 Å, c = 9.643 Å, α = 90.00°, β = 90.00° and γ = 90.00°. The asymmetric unit holds Tc at (0.000, 0.000, 0.161) and As at (0.000, 0.000, 0.500).

The calculation puts the raw total energy at -30.220 eV/atom. For the energy relative to the elements, the calculation gives -116 meV per atom. The calculation puts the density at 10.8 Mg/m³. The density of states at the Fermi level comes out at 3.521 states/eV per cell.


The records above give, respectively, M_tot values of 0.00, 0.00, 0.00, 0.00, 0.00, 0.00, 0.00, 0.00, 0.00, 0.00, 0.00, 0.00 Bohr magnetons per cell.